Record 1
ZrTa | PBE | relaxed

Summary:
Total energy = -39.9 eV per cell
ΔH_f (0 K) = 21.47 kJ per mole of atoms
DOS(E_F) = 3.147 states/eV/f.u.
Space-group type = R-3m

a = 3.0711 Å, b = 10.3414 Å, c = 3.0711 Å
α = 98.54°, β = 60.00°, γ = 98.54°
With the nearest neighbours (Å) after each atom.
Element x y z (fractional)
Ta 0.9968 0.9903 0.9968  9 Ta 2.94-3.07, 3 Zr 3.09
Ta 0.2532 0.7597 0.2532  9 Ta 2.94-3.07, 3 Zr 3.09
Zr 0.5037 0.5111 0.5037  9 Zr 3.07-3.29, 3 Ta 3.09
Zr 0.7463 0.2389 0.7463  9 Zr 3.07-3.29, 3 Ta 3.09

***

Record 2
ZrTa2 | PBE | relaxed

Summary:
Total energy = -64.0 eV per cell
ΔH_f (0 K) = 8.66 kJ per mole of atoms
DOS(E_F) = 4.618 states/eV/f.u.
Space-group type = C2/m

a = 3.3488 Å, b = 5.6107 Å, c = 7.0501 Å
α = 108.93°, β = 90.00°, γ = 107.36°
With the nearest neighbours (Å) after each atom.
Element x y z (fractional)
Ta 0.5032 0.0065 0.7231  5 Ta 2.80-3.12, 4 Zr 3.04-3.05
Ta 0.1646 0.3292 0.5721  6 Ta 2.80-2.91, 2 Zr 3.01
Ta 0.8354 0.6708 0.4279  6 Ta 2.80-2.91, 2 Zr 3.01
Ta 0.4968 0.9935 0.2769  5 Ta 2.80-3.12, 4 Zr 3.04-3.05
Zr 0.1607 0.3214 0.0863  6 Ta 3.01-3.05, 5 Zr 3.09-3.35
Zr 0.8393 0.6786 0.9137  6 Ta 3.01-3.05, 5 Zr 3.09-3.35

***

Record 3
ZrTa | PBE | relaxed

Summary:
Total energy = -78.8 eV per cell
ΔH_f (0 K) = 33.71 kJ per mole of atoms
DOS(E_F) = 3.197 states/eV/f.u.
Space-group type = P2_13

a = 5.5143 Å, b = 5.5143 Å, c = 5.5143 Å
α = 90.00°, β = 90.00°, γ = 90.00°
With the nearest neighbours (Å) after each atom.
Element x y z (fractional)
Zr 0.1004 0.1004 0.1004  7 Ta 2.84-2.98
Zr 0.3996 0.8996 0.6004  7 Ta 2.84-2.98
Zr 0.8996 0.6004 0.3996  7 Ta 2.84-2.98
Zr 0.6004 0.3996 0.8996  7 Ta 2.84-2.98
Ta 0.3979 0.3979 0.3979  7 Zr 2.84-2.98
Ta 0.1021 0.6021 0.8979  7 Zr 2.84-2.98
Ta 0.6021 0.8979 0.1021  7 Zr 2.84-2.98
Ta 0.8979 0.1021 0.6021  7 Zr 2.84-2.98

***

Record 4
ZrTa | PBE | relaxed

Summary:
Total energy = -74.6 eV per cell
ΔH_f (0 K) = 84.10 kJ per mole of atoms
DOS(E_F) = 2.082 states/eV/f.u.
Space-group type = P4_2/mnm

a = 5.5908 Å, b = 5.5908 Å, c = 5.7406 Å
α = 90.00°, β = 90.00°, γ = 90.00°
With the nearest neighbours (Å) after each atom.
Element x y z (fractional)
Zr 0.1900 0.8100 0.0000  6 Ta 2.83-2.96, 1 Zr 3.00
Zr 0.6900 0.6900 0.5000  6 Ta 2.83-2.96, 1 Zr 3.00
Zr 0.3100 0.3100 0.5000  6 Ta 2.83-2.96, 1 Zr 3.00
Zr 0.8100 0.1900 0.0000  6 Ta 2.83-2.96, 1 Zr 3.00
Ta 0.3222 0.3222 0.0000  1 Ta 2.81, 6 Zr 2.83-2.96
Ta 0.8222 0.1778 0.5000  1 Ta 2.81, 6 Zr 2.83-2.96
Ta 0.1778 0.8222 0.5000  1 Ta 2.81, 6 Zr 2.83-2.96
Ta 0.6778 0.6778 0.0000  1 Ta 2.81, 6 Zr 2.83-2.96

***

Record 5
ZrTa2 | PBE | relaxed

Summary:
Total energy = -60.8 eV per cell
ΔH_f (0 K) = 59.63 kJ per mole of atoms
DOS(E_F) = 3.395 states/eV/f.u.
Space-group type = I4_1/amd

a = 9.6376 Å, b = 9.6376 Å, c = 9.6376 Å
α = 157.76°, β = 157.76°, γ = 31.66°
With the nearest neighbours (Å) after each atom.
Element x y z (fractional)
Zr 0.0000 0.0000 0.0000  8 Ta 2.96
Zr 0.7500 0.2500 0.5000  8 Ta 2.96
Ta 0.3237 0.8237 0.5000  3 Ta 2.66-2.73, 4 Zr 2.96
Ta 0.1763 0.6763 0.5000  3 Ta 2.66-2.73, 4 Zr 2.96
Ta 0.5737 0.5737 0.0000  3 Ta 2.66-2.73, 4 Zr 2.96
Ta 0.4263 0.4263 0.0000  3 Ta 2.66-2.73, 4 Zr 2.96

***

Record 6
Zr5Ta | PBE | relaxed

Summary:
Total energy = -54.1 eV per cell
ΔH_f (0 K) = 7.59 kJ per mole of atoms
DOS(E_F) = 6.949 states/eV/f.u.
Space-group type = Cm

a = 5.8066 Å, b = 5.8066 Å, c = 7.0515 Å
α = 75.11°, β = 75.11°, γ = 35.75°
With the nearest neighbours (Å) after each atom.
Element x y z (fractional)
Zr 0.6199 0.6199 0.2421  2 Ta 2.98, 7 Zr 3.12-3.20
Zr 0.3244 0.3244 0.3465  8 Zr 3.05-3.28, 2 Ta 3.09
Zr 0.9509 0.9509 0.5916  9 Zr 3.07-3.23, 1 Ta 3.17
Zr 0.6480 0.6480 0.7068  2 Ta 3.00, 7 Zr 3.09-3.28
Zr 0.2998 0.2998 0.9258  3 Ta 2.97-3.30, 7 Zr 3.05-3.13
Ta 0.9904 0.9904 0.0205  10 Zr 2.97-3.30

***

Record 7
Zr3Ta5 | PBE | relaxed

Summary:
Total energy = -162.7 eV per cell
ΔH_f (0 K) = 43.18 kJ per mole of atoms
DOS(E_F) = 11.161 states/eV/f.u.
Space-group type = P6_3/mcm

a = 8.3595 Å, b = 8.3600 Å, c = 5.4836 Å
α = 90.00°, β = 90.00°, γ = 60.00°
With the nearest neighbours (Å) after each atom.
Element x y z (fractional)
Zr 0.6043 0.3957 0.7500  8 Ta 2.87-3.19
Zr 0.3956 0.6044 0.2500  8 Ta 2.86-3.19
Zr 0.3957 0.0000 0.7500  8 Ta 2.86-3.19
Zr 0.0000 0.3956 0.2500  8 Ta 2.86-3.19
Zr 0.6043 0.0000 0.2500  8 Ta 2.86-3.19
Zr 0.0000 0.6043 0.7500  8 Ta 2.87-3.19
Ta 0.7991 0.2008 0.2500  4 Zr 2.86-3.19, 2 Ta 2.91
Ta 0.2009 0.7991 0.7500  4 Zr 2.87-3.19, 2 Ta 2.91
Ta 0.2008 0.0000 0.2500  4 Zr 2.86-3.19, 2 Ta 2.91
Ta 0.0000 0.2008 0.7500  4 Zr 2.86-3.19, 2 Ta 2.91
Ta 0.6667 0.6667 0.0000  2 Ta 2.74, 6 Zr 2.91
Ta 0.6667 0.6667 0.5000  2 Ta 2.74, 6 Zr 2.91
Ta 0.3333 0.3333 0.0000  2 Ta 2.74, 6 Zr 2.91
Ta 0.3333 0.3333 0.5000  2 Ta 2.74, 6 Zr 2.91
Ta 0.7992 0.0000 0.7500  4 Zr 2.87-3.19, 2 Ta 2.91
Ta 0.0000 0.7992 0.2500  4 Zr 2.86-3.19, 2 Ta 2.91

***

Record 8
ZrTa2 | PBE | relaxed

Summary:
Total energy = -63.2 eV per cell
ΔH_f (0 K) = 20.88 kJ per mole of atoms
DOS(E_F) = 2.995 states/eV/f.u.
Space-group type = Cm

a = 6.6271 Å, b = 6.6271 Å, c = 6.4692 Å
α = 76.32°, β = 76.32°, γ = 25.83°
With the nearest neighbours (Å) after each atom.
Element x y z (fractional)
Zr 0.9507 0.9507 0.5942  7 Ta 2.95-3.26, 4 Zr 2.96-3.14
Zr 0.2759 0.2759 0.9414  5 Ta 2.82-2.99, 4 Zr 2.96-3.14
Ta 0.0008 0.0008 0.0176  8 Ta 2.87-3.08, 1 Zr 2.96
Ta 0.6146 0.6146 0.2726  5 Ta 2.77-2.96, 4 Zr 2.98-2.99
Ta 0.3277 0.3277 0.3408  3 Zr 2.82-2.95, 6 Ta 2.96-3.05
Ta 0.6637 0.6637 0.6667  7 Ta 2.77-3.08, 2 Zr 2.95

***

Record 9
ZrTa | PBE | relaxed

Summary:
Total energy = -33.5 eV per cell
ΔH_f (0 K) = 176.98 kJ per mole of atoms
DOS(E_F) = 3.002 states/eV/f.u.
Space-group type = P6_3/mmc

a = 4.8597 Å, b = 4.8597 Å, c = 5.4807 Å
α = 90.00°, β = 90.00°, γ = 120.00°
With the nearest neighbours (Å) after each atom.
Element x y z (fractional)
Zr 0.3333 0.6667 0.2500  5 Ta 2.74-2.81
Zr 0.6667 0.3333 0.7500  5 Ta 2.74-2.81
Ta 0.3333 0.6667 0.7500  5 Zr 2.74-2.81
Ta 0.6667 0.3333 0.2500  5 Zr 2.74-2.81

***

Record 10
ZrTa | PBE | relaxed

Summary:
Total energy = -116.4 eV per cell
ΔH_f (0 K) = 48.60 kJ per mole of atoms
DOS(E_F) = 2.361 states/eV/f.u.
Space-group type = P6_3/m

a = 10.2469 Å, b = 10.2469 Å, c = 2.9324 Å
α = 90.00°, β = 90.00°, γ = 120.00°
With the nearest neighbours (Å) after each atom.
Element x y z (fractional)
Zr 0.7624 0.0624 0.2500  4 Ta 2.91-3.06, 6 Zr 2.93-3.17
Zr 0.7000 0.7624 0.7500  4 Ta 2.91-3.06, 6 Zr 2.93-3.17
Zr 0.9376 0.7000 0.2500  4 Ta 2.91-3.06, 6 Zr 2.93-3.17
Zr 0.2376 0.9376 0.7500  4 Ta 2.91-3.06, 6 Zr 2.93-3.17
Zr 0.3000 0.2376 0.2500  4 Ta 2.91-3.06, 6 Zr 2.93-3.17
Zr 0.0624 0.3000 0.7500  4 Ta 2.91-3.06, 6 Zr 2.93-3.17
Ta 0.8522 0.3832 0.2500  4 Zr 2.91-3.06, 6 Ta 2.93-3.13
Ta 0.4690 0.8522 0.7500  4 Zr 2.91-3.06, 6 Ta 2.93-3.13
Ta 0.6168 0.4690 0.2500  4 Zr 2.91-3.06, 6 Ta 2.93-3.13
Ta 0.1478 0.6168 0.7500  4 Zr 2.91-3.06, 6 Ta 2.93-3.13
Ta 0.5310 0.1478 0.2500  4 Zr 2.91-3.06, 6 Ta 2.93-3.13
Ta 0.3832 0.5310 0.7500  4 Zr 2.91-3.06, 6 Ta 2.93-3.13

***

Record 11
ZrTa | PBE | relaxed

Summary:
Total energy = -131.9 eV per cell
ΔH_f (0 K) = 188.51 kJ per mole of atoms
DOS(E_F) = 2.279 states/eV/f.u.
Space-group type = I-43m

a = 8.3454 Å, b = 8.3454 Å, c = 8.3454 Å
α = 90.00°, β = 90.00°, γ = 90.00°
With the nearest neighbours (Å) after each atom.
Element x y z (fractional)
Zr 0.2089 0.2089 0.2089  1 Ta 2.57
Zr 0.2089 0.7911 0.7911  1 Ta 2.57
Zr 0.7911 0.2089 0.7911  1 Ta 2.57
Zr 0.7911 0.7911 0.2089  1 Ta 2.57
Zr 0.7089 0.7089 0.7089  1 Ta 2.57
Zr 0.7089 0.2911 0.2911  1 Ta 2.57
Zr 0.2911 0.7089 0.2911  1 Ta 2.57
Zr 0.2911 0.2911 0.7089  1 Ta 2.57
Ta 0.3865 0.3865 0.3865  1 Zr 2.57, 3 Ta 2.68
Ta 0.3865 0.6135 0.6135  1 Zr 2.57, 3 Ta 2.68
Ta 0.6135 0.3865 0.6135  1 Zr 2.57, 3 Ta 2.68
Ta 0.6135 0.6135 0.3865  1 Zr 2.57, 3 Ta 2.68
Ta 0.8865 0.8865 0.8865  1 Zr 2.57, 3 Ta 2.68
Ta 0.8865 0.1135 0.1135  1 Zr 2.57, 3 Ta 2.68
Ta 0.1135 0.8865 0.1135  1 Zr 2.57, 3 Ta 2.68
Ta 0.1135 0.1135 0.8865  1 Zr 2.57, 3 Ta 2.68

***

Record 12
ZrTa | PBE | relaxed

Summary:
Total energy = -60.5 eV per cell
ΔH_f (0 K) = 10.83 kJ per mole of atoms
DOS(E_F) = 2.576 states/eV/f.u.
Space-group type = Cm

a = 5.7109 Å, b = 5.7109 Å, c = 6.9806 Å
α = 72.75°, β = 72.75°, γ = 34.99°
With the nearest neighbours (Å) after each atom.
Element x y z (fractional)
Zr 0.7004 0.7004 0.6097  6 Ta 3.04-3.20, 3 Zr 3.12-3.18
Zr 0.0080 0.0080 0.4622  4 Ta 2.94-2.95, 5 Zr 3.12-3.18
Zr 0.6931 0.6931 0.1131  7 Ta 2.94-3.26, 2 Zr 3.15
Ta 0.0217 0.0217 0.9383  4 Ta 2.79-2.80, 4 Zr 3.04-3.06
Ta 0.3645 0.3645 0.8013  3 Ta 2.80-3.13, 6 Zr 2.94-3.07
Ta 0.3790 0.3790 0.2419  3 Ta 2.79-3.13, 4 Zr 2.94-3.00

***

Q: Look up the total energy of the eighth one.
A: -63.2 eV per cell

***

Q: DOS(E_F) of number 2 (ZrTa2)?
A: 4.618 states/eV/f.u.

***

Q: Among the records above, which one has the lowest total energy?
A: Zr3Ta5